1.
The following is a DFT calculation (PBE) of a geometry-optimized LiTaPb2 structure.

Values from the calculation:
Magnetic moment: 0.0 μB/cell
ΔH_f (0 K): 0.326 eV/atom

Lattice parameters (Å, degrees): 3.1865 5.2265 5.2764 90.00 90.00 90.00
With the nearest neighbours (Å) after each atom.
Positions (direct):
Li 0.0000 0.0000 0.0000  8 Pb 3.06-3.08, 2 Li 3.19
Ta 0.0000 0.5000 0.5000  8 Pb 3.06-3.08, 2 Ta 3.19
Pb 0.5000 0.0000 0.5000  4 Ta 3.06, 4 Li 3.08, 2 Pb 3.19
Pb 0.5000 0.5000 0.0000  4 Li 3.06, 4 Ta 3.08, 2 Pb 3.19

2.
The following is a DFT calculation (PBE) of a geometry-optimized SrPuBeO5 structure.

Values from the calculation:
Magnetic moment: 4.0 μB/cell
Formation energy (no corrections): -2.667 eV/atom

Lattice parameters (Å, degrees): 5.7182 5.7182 7.7528 104.42 104.42 105.80
With the nearest neighbours (Å) after each atom.
Positions (direct):
Sr 0.1578 0.8422 0.7500  5 O 2.40-2.59
Sr 0.8422 0.1578 0.2500  5 O 2.40-2.59
Pu 0.5000 0.5000 0.0000  6 O 2.06-2.08
Pu 0.5000 0.5000 0.5000  6 O 2.06-2.08
Be 0.1902 0.8098 0.2500  4 O 1.69-1.71
Be 0.8098 0.1902 0.7500  4 O 1.69-1.71
O 0.1176 0.2618 0.8946  1 Be 1.71
O 0.2002 0.6117 0.3797  1 Be 1.69
O 0.2618 0.1176 0.3946  1 Be 1.71
O 0.3883 0.7998 0.1203  1 Be 1.69
O 0.4204 0.5796 0.7500  2 Pu 2.07
O 0.5796 0.4204 0.2500  2 Pu 2.07
O 0.6117 0.2002 0.8797  1 Be 1.69
O 0.7382 0.8824 0.6054  1 Be 1.71
O 0.7998 0.3883 0.6203  1 Be 1.69
O 0.8824 0.7382 0.1054  1 Be 1.71

3.
The following is a DFT calculation (PBE) of a geometry-optimized Pa2FePb structure.

Values from the calculation:
Magnetic moment: 0.0 μB/cell
ΔH_f (0 K): -0.026 eV/atom
Relative energy among the computed polymorphs: 43.5 meV per atom

Lattice parameters (Å, degrees): 8.8553 8.8553 8.8553 23.74 23.74 23.74
With the nearest neighbours (Å) after each atom.
Positions (direct):
Pa 0.0000 0.0000 0.0000  3 Fe 2.57
Pa 0.2142 0.2142 0.2142  3 Fe 2.64
Fe 0.6092 0.6092 0.6092  6 Pa 2.57-2.64
Pb 0.4413 0.4413 0.4413  6 Pa 3.46-3.49, 6 Pb 3.64

4.
The following is a DFT calculation (PBE) of a geometry-optimized Pm2NdNi2 structure.

Values from the calculation:
Magnetic moment: 0.0 μB/cell
ΔH_f (0 K): -0.251 eV/atom
Relative energy among the computed polymorphs: 0.0 meV per atom

Lattice parameters (Å, degrees): 7.5057 7.5057 3.8297 90.00 90.00 145.53
With the nearest neighbours (Å) after each atom.
Positions (direct):
Pm 0.1511 0.8489 0.0000  6 Ni 2.85-3.02
Pm 0.8489 0.1511 0.0000  6 Ni 2.85-3.02
Nd 0.5000 0.5000 0.5000  2 Ni 2.89
Ni 0.2983 0.7017 0.5000  2 Ni 2.62, 2 Pm 2.85, 1 Nd 2.89
Ni 0.7017 0.2983 0.5000  2 Ni 2.62, 2 Pm 2.85, 1 Nd 2.89

Number 1: theoretical density 11.381 g/cm3. Number 2: theoretical density 6.288 g/cm3. Number 3: theoretical density 12.180 g/cm3. Number 4: theoretical density 7.502 g/cm3.